This record from Alexandria describes a relaxed structure of Al2TlInCl8. The functional is GGA-PBE.

Unit cell a=6.8442 b=6.8442 c=10.2048 alpha=70.41 beta=70.41 gamma=60.00
Fractional coordinates of all 12 atoms:
Al  0.2409  0.2409  0.2773
Al  0.7591  0.7591  0.7227
Tl  0.5000  0.5000  0.5000
In  0.0000  0.0000  0.0000
Cl  0.1649  0.1649  0.5054
Cl  0.5279  0.3298  0.2004
Cl  0.8351  0.8351  0.4946
Cl  0.9418  0.5279  0.2004
Cl  0.0582  0.4721  0.7996
Cl  0.3298  0.9418  0.2004
Cl  0.6702  0.0582  0.7996
Cl  0.4721  0.6702  0.7996

Summary:
magnetization: 0.00 μB per cell
SG: R-3, No. 148
raw formation energy: -1.388 eV/atom